Record 1
A crystal of LaCuTe2N relaxed with PBEsol, computed with SCAN.

```
5
Lattice="-2.324 -3.030 -0.352 4.120 -3.269 0.937 -1.040 0.190 5.236" Properties=species:S:1:pos:R:3 pbc="T T T"
Cu 0.000 0.000 0.000
Te 2.060 -1.634 0.468
Te -0.520 0.095 2.618
N -1.162 -1.515 -0.176
La 0.378 -3.054 2.910
```

Values from the calculation:
For the energy above the most stable polymorph in this dataset, the calculation gives 0.0 kJ/mol of atoms. The total DFT energy (no corrections) is -28.62 eV per atom. The magnetic moment is 0.340 μB per atom.

***

Record 2
A crystal of MgOsRu relaxed with PBEsol, computed with SCAN.

```
3
Lattice="-0.128 -2.753 -0.088 2.395 1.252 0.545 -1.427 -0.145 6.599" Properties=species:S:1:pos:R:3 pbc="T T T"
Os 0.628 -0.177 4.619
Mg -0.002 0.000 0.010
Ru 0.215 -1.468 2.427
```

Values from the calculation:
The calculation puts the calculated formation energy at 0.171 eV per atom. For the energy above the most stable polymorph in this dataset, the calculation gives 13.3 kJ/mol of atoms. The total DFT energy (no corrections) is -37.06 eV per atom. The magnetic moment is 0.000 μB per atom.

***

Record 3
A crystal of AlZn3Au relaxed with PBEsol, computed with SCAN.

```
5
Lattice="4.812 0.000 0.000 0.000 4.812 0.000 0.000 0.000 4.812" Properties=species:S:1:pos:R:3 pbc="T T T"
Zn 2.406 0.000 0.000
Zn 0.000 2.406 0.000
Zn 0.000 0.000 2.406
Al 2.406 2.406 2.406
Au 0.000 0.000 0.000
```

Values from the calculation:
The calculation puts the calculated formation energy at 0.331 eV per atom. The total DFT energy (no corrections) is -23.16 eV per atom. The magnetic moment is 0.000 μB per atom.

***

Record 4
A crystal of Na2CuSi3O8 relaxed with PBEsol, computed with SCAN.

```
56
Lattice="-3.966 -4.263 -5.399 0.058 -5.352 8.013 -8.812 4.398 3.001" Properties=species:S:1:pos:R:3 pbc="T T T"
O -6.791 -2.080 5.870
O -7.480 1.810 4.828
O -7.222 -3.686 3.724
O -9.012 -1.605 0.386
O -4.485 0.623 0.695
O -3.191 -4.041 0.332
O -9.991 -3.889 1.190
O -2.742 -1.433 0.885
O -4.040 -6.741 3.119
O -5.682 -5.460 5.197
O -9.529 -1.176 5.283
O -8.680 1.524 2.496
O -6.056 0.883 2.835
O -10.724 0.723 0.900
O -1.488 -3.534 3.691
O -6.743 -3.616 -2.718
O -4.409 -4.565 -2.004
O -5.240 -7.027 0.787
O -8.312 -0.653 7.619
O -3.708 -3.613 5.230
O -6.664 -6.101 2.781
O -9.978 -3.785 4.731
O -2.729 -1.328 4.426
O -10.850 -0.799 -2.534
O -1.996 -5.941 4.715
O -5.498 -1.531 1.891
O -5.929 -3.137 -0.254
O -7.039 0.242 0.418
O -1.870 -4.418 8.150
O -5.977 -1.602 8.333
O -11.232 -1.683 1.924
O -8.235 -5.840 4.920
Si -2.969 -4.514 -1.197
Si -9.748 -5.362 4.489
Si -5.905 -4.224 -1.441
Si -10.393 -2.379 0.692
Si -9.752 -0.704 6.813
Si -2.972 0.145 1.126
Si -6.815 -0.994 7.057
Si -2.327 -2.839 4.923
Si -6.894 -5.216 4.156
Si -5.438 -7.119 2.416
Si -5.826 -0.001 1.459
Si -7.282 1.901 3.199
Na -7.407 -3.057 1.524
Na -5.433 -3.778 6.850
Na -11.219 -3.816 6.838
Na -5.313 -2.160 4.092
Na -1.501 -1.401 -1.223
Na -7.287 -1.439 -1.234
Na -11.467 -2.014 4.206
Na -1.253 -3.203 1.410
Cu -8.381 -2.667 4.905
Cu -4.340 -2.551 0.710
Cu -8.851 0.229 1.049
Cu -3.869 -5.447 4.567
```

Values from the calculation:
The total DFT energy (no corrections) is -9.93 eV per atom. The magnetic moment is 0.071 μB per atom.